Entry from the Open Quantum Materials Database: an optimized crystal structure of HfMgBePd (GGA-PBE).

Its spin magnetization is 0.00 μB/cell. The energy above the most stable polymorph in this dataset comes out at 0 meV/atom. As for the density: 8.2 g/cm³.

It has space group F-43m (No. 216), with a = 6.354 Å, b = 6.354 Å, c = 6.354 Å, α = 90.00°, β = 90.00° and γ = 90.00°. Symmetry generates all atoms from Hf at (0.000, 0.000, 0.000), Mg at (0.000, 0.000, 0.500), Be at (0.250, 0.250, 0.250) and Pd at (0.250, 0.250, 0.750).